Material: KSr2Al
Method: DFT, PBEsol
State: optimized geometry

POSCAR file:
```
KSr2Al
1.0
-3.267 -1.190 -1.905
-1.207 -1.905 3.260
-5.273 9.094 3.361
Sr K Al
2 1 1
direct
0.000 0.000 0.331
0.000 0.000 0.669
0.500 0.500 0.000
0.500 0.500 0.500
```

Output
Symmetry: P4/mmm (123)
DOS(E_F), states/eV per cell: 2.73
Energy of formation from the pure elements, kJ/mol of atoms: -1.4
Volume, Å³/cell: 173.5